No. 1
GGA-PBE Ba6Cd5In, optimized geometry; symmetry = Immm, No. 71; DFT formation energy = -339 meV/atom
1.0
-3.0103 4.2740 9.0398
3.0103 -4.2740 9.0398
3.0103 4.2740 -9.0398
Ba Cd In
6 5 1
direct
0.0833 0.3335 0.7498
0.2500 0.0000 0.2500
0.4162 0.6665 0.7498
0.5838 0.3335 0.2502
0.7500 0.0000 0.7500
0.9167 0.6665 0.2502
0.1654 0.1654 0.0000
0.3341 0.8341 0.5000
0.5000 0.5000 0.0000
0.6659 0.1659 0.5000
0.8346 0.8346 0.0000
0.0000 0.5000 0.5000

=====

No. 2
GGA-PBE Cs5Mn2S6, optimized geometry; symmetry = C2/c, No. 15; formation energy (no corrections) = -0.960 eV/atom
1.0
6.6708 -4.4116 0.0000
6.6708 4.4116 0.0000
-2.9599 0.0000 16.9975
Cs Mn S
10 4 12
direct
0.1281 0.8719 0.7500
0.1782 0.7260 0.0058
0.2646 0.4174 0.2882
0.2740 0.8218 0.4942
0.4174 0.2646 0.7882
0.5826 0.7354 0.2118
0.7260 0.1782 0.5058
0.7354 0.5826 0.7118
0.8218 0.2740 0.9942
0.8719 0.1281 0.2500
0.1339 0.4126 0.5686
0.4126 0.1339 0.0686
0.5874 0.8661 0.9314
0.8661 0.5874 0.4314
0.0821 0.2969 0.4423
0.1089 0.2098 0.6361
0.2098 0.1089 0.1361
0.2969 0.0821 0.9423
0.3676 0.4808 0.6228
0.4808 0.3676 0.1228
0.5192 0.6324 0.8772
0.6324 0.5192 0.3772
0.7031 0.9179 0.0577
0.7902 0.8911 0.8639
0.8911 0.7902 0.3639
0.9179 0.7031 0.5577

=====

No. 3
GGA-PBE CrC2Br, optimized geometry; symmetry = I-42d, No. 122; distance to the lowest polymorph of the same formula = 0.000 eV per atom; formation energy (no corrections) = 1.491 eV/atom
1.0
-2.5862 2.5862 4.6495
2.5862 -2.5862 4.6495
2.5862 2.5862 -4.6495
Cr C Br
2 4 2
direct
0.0000 0.0000 0.0000
0.7500 0.2500 0.5000
0.3750 0.2428 0.3678
0.7572 0.1250 0.1322
0.8750 0.0072 0.6322
0.9928 0.6250 0.8678
0.2500 0.7500 0.5000
0.5000 0.5000 0.0000

=====

Number 1: calculated volume 38.8 A^3/atom. Number 2: calculated volume 38.5 A^3/atom. Number 3: calculated volume 15.5 A^3/atom.